No. 1
An optimized crystal structure of TbPrTm5. Source: the Alexandria database, functional GGA-PBE.

Lattice parameters (Å, degrees): 7.977 11.640 6.147 90.00 90.00 90.00
Space group Imm2 (No. 44)
One atom of each set of equivalent atoms:
Tb1 0.000 0.000 0.000 (multiplicity 2)
Pr1 0.000 0.500 0.255 (multiplicity 2)
Tm1 0.000 0.257 0.984 (multiplicity 4)
Tm2 0.000 0.500 0.728 (multiplicity 2)
Tm3 0.180 0.000 0.494 (multiplicity 4)

* excess energy over the best structure of this formula in the dataset: 813 meV/atom
* calculated formation energy: 1.0169 eV per atom
* D(E_F): 9.63 states/eV/f.u.

=====

No. 2
An optimized crystal structure of Tb6PrTm2. Source: the Alexandria database, functional GGA-PBE.

Lattice parameters (Å, degrees): 7.3478 7.3478 19.1812 90.00 90.00 120.00
Space group R3m (No. 160, hexagonal axes)
One atom of each set of equivalent atoms:
Tb1 0.1735 0.3470 0.0000 (multiplicity 9)
Tb2 0.1889 0.3778 0.1984 (multiplicity 9)
Pr1 0.0000 0.0000 0.1167 (multiplicity 3)
Tm1 0.0000 0.0000 0.6790 (multiplicity 3)
Tm2 0.0000 0.0000 0.8553 (multiplicity 3)

* excess energy over the best structure of this formula in the dataset: 325 meV/atom
* calculated formation energy: 0.3437 eV per atom
* D(E_F): 13.05 states/eV/f.u.

=====

No. 3
An optimized crystal structure of Tb7PrTm2. Source: the Alexandria database, functional GGA-PBE.

Lattice parameters (Å, degrees): 8.789 15.897 5.675 90.00 90.00 90.00
Space group Cmmm (No. 65)
One atom of each set of equivalent atoms:
Tb1 0.000 0.000 0.000 (multiplicity 2)
Tb2 0.000 0.277 0.500 (multiplicity 4)
Tb3 0.178 0.383 0.000 (multiplicity 8)
Pr1 0.000 0.500 0.500 (multiplicity 2)
Tm1 0.000 0.204 0.000 (multiplicity 4)

* excess energy over the best structure of this formula in the dataset: 668 meV/atom
* calculated formation energy: 0.6861 eV per atom
* D(E_F): 13.86 states/eV/f.u.

=====

No. 4
An optimized crystal structure of Tb7Pr2Tm3. Source: the Alexandria database, functional GGA-PBE.

Lattice parameters (Å, degrees): 6.347 3.522 17.466 90.00 96.16 90.00
Space group P2/m (No. 10)
One atom of each set of equivalent atoms:
Tb1 0.000 0.000 0.000 (multiplicity 1)
Tb2 0.230 0.500 0.167 (multiplicity 2)
Tb3 0.257 0.500 0.498 (multiplicity 2)
Tb4 0.275 0.000 0.838 (multiplicity 2)
Pr1 0.059 0.500 0.673 (multiplicity 2)
Tm1 0.453 0.000 0.343 (multiplicity 2)
Tm2 0.500 0.500 0.000 (multiplicity 1)

* excess energy over the best structure of this formula in the dataset: 0 meV/atom
* calculated formation energy: 0.0739 eV per atom
* D(E_F): 17.24 states/eV/f.u.

=====

No. 5
An optimized crystal structure of Tb4Pr6Tm. Source: the Alexandria database, functional GGA-PBE.

Lattice parameters (Å, degrees): 6.854 6.854 16.489 90.00 90.00 90.00
Space group I-42m (No. 121)
One atom of each set of equivalent atoms:
Tb1 0.175 0.175 0.387 (multiplicity 8)
Pr1 0.000 0.500 0.000 (multiplicity 4)
Pr2 0.192 0.192 0.178 (multiplicity 8)
Tm1 0.000 0.000 0.000 (multiplicity 2)

* excess energy over the best structure of this formula in the dataset: 8 meV/atom
* calculated formation energy: 0.2879 eV per atom
* D(E_F): 15.57 states/eV/f.u.

=====

No. 6
An optimized crystal structure of TbPr4Tm7. Source: the Alexandria database, functional GGA-PBE.

Lattice parameters (Å, degrees): 7.126 7.968 7.973 72.72 63.62 77.41
Space group P-1 (No. 2)
One atom of each set of equivalent atoms:
Tb1 0.000 0.000 0.000 (multiplicity 1)
Pr1 0.165 0.669 0.335 (multiplicity 2)
Pr2 0.417 0.668 0.831 (multiplicity 2)
Tm1 0.085 0.332 0.165 (multiplicity 2)
Tm2 0.250 0.001 0.499 (multiplicity 2)
Tm3 0.333 0.330 0.670 (multiplicity 2)
Tm4 0.500 0.000 0.000 (multiplicity 1)

* excess energy over the best structure of this formula in the dataset: 0 meV/atom
* calculated formation energy: 0.0256 eV per atom
* D(E_F): 16.28 states/eV/f.u.